Record 1
The following is a DFT calculation (PBE-GGA) of a geometry-optimized TbPm3Tm5 structure.

Lattice parameters (Å, degrees): 8.6696 8.6696 9.8003 116.25 116.25 90.00
Element x y z (fractional)
Tb: 0.7500 0.2500 0.5000
Tb: 0.2500 0.7500 0.5000
Pm: 0.6162 0.1162 0.0000
Pm: 0.3838 0.8838 0.0000
Pm: 0.8838 0.6162 0.0000
Pm: 0.1162 0.3838 0.0000
Pm: 0.2500 0.2500 0.5000
Pm: 0.7500 0.7500 0.5000
Tm: 0.0727 0.5727 0.7253
Tm: 0.6526 0.1526 0.7253
Tm: 0.1526 0.0727 0.7253
Tm: 0.5727 0.6526 0.7253
Tm: 0.9273 0.4273 0.2747
Tm: 0.3474 0.8474 0.2747
Tm: 0.8474 0.9273 0.2747
Tm: 0.4273 0.3474 0.2747
Tm: 0.5000 0.5000 0.0000
Tm: 0.0000 0.0000 0.0000

Summary:
Calculated volume ... 574.7 Å³ per cell
D(E_F) ... 1.0838 states/eV/atom
ΔH_f (0 K) ... 0.264 eV per atom
Raw total energy ... -77.73 eV for the cell shown
Spin magnetization ... 0.000 μB per cell

Record 2
The following is a DFT calculation (PBE-GGA) of a geometry-optimized MnGeCN structure.

Lattice parameters (Å, degrees): 3.8957 2.6513 4.8473 90.00 106.77 90.00
Element x y z (fractional)
Ge: 0.1485 0.0000 0.8579
Mn: 0.4344 0.0000 0.4280
C: 0.0572 0.5000 0.3385
N: 0.7247 0.5000 0.3220

Summary:
Calculated volume ... 47.9 Å³ per cell
Raw formation energy ... 385 meV per atom
D(E_F) ... 0.3255 states/eV/atom
Polymorph energy (0 for the lowest one) ... 103.8 meV per atom
Raw total energy ... -29.80 eV for the cell shown
Spin magnetization ... 0.000 μB per cell

Record 3
The following is a DFT calculation (PBE-GGA) of a geometry-optimized TePtN2Cl structure.

Lattice parameters (Å, degrees): 3.9002 3.9002 6.1259 90.00 90.00 90.00
Site moments in Bohr magnetons follow the coordinates.
Element x y z (fractional)
N: 0.0000 0.5000 0.0000  0.41
N: 0.5000 0.0000 0.0000  0.41
Te: 0.0000 0.0000 0.5000  0.05
Pt: 0.0000 0.0000 0.0000  0.11
Cl: 0.5000 0.5000 0.5000  0.00

Summary:
Calculated volume ... 93.2 Å³ per cell
Raw formation energy ... 1182 meV per atom
D(E_F) ... 0.7943 states/eV/atom
Polymorph energy (0 for the lowest one) ... 0.0 meV per atom
Raw total energy ... -21.77 eV for the cell shown
Spin magnetization ... 1.332 μB per cell

Record 4
The following is a DFT calculation (PBE-GGA) of a geometry-optimized Dy5Ni2Te structure.

Lattice parameters (Å, degrees): 7.6664 7.6664 8.5772 116.55 116.55 90.00
Element x y z (fractional)
Dy: 0.5194 0.7093 0.7287
Dy: 0.7907 0.9806 0.2713
Dy: 0.0000 0.0000 0.0000
Dy: 0.5000 0.5000 0.0000
Dy: 0.2093 0.0194 0.7287
Dy: 0.7093 0.2093 0.7287
Dy: 0.0194 0.5194 0.7287
Dy: 0.2907 0.7907 0.2713
Dy: 0.9806 0.4806 0.2713
Dy: 0.4806 0.2907 0.2713
Ni: 0.1334 0.3666 0.0000
Ni: 0.6334 0.1334 0.0000
Ni: 0.3666 0.8666 0.0000
Ni: 0.8666 0.6334 0.0000
Te: 0.7500 0.7500 0.5000
Te: 0.2500 0.2500 0.5000

Summary:
Calculated volume ... 390.7 Å³ per cell
Raw formation energy ... -566 meV per atom
D(E_F) ... 0.7568 states/eV/atom
Raw total energy ... -84.48 eV for the cell shown
Spin magnetization ... 0.000 μB per cell

Record 5
The following is a DFT calculation (PBE-GGA) of a geometry-optimized NiTeMoRh2 structure.

Lattice parameters (Å, degrees): 4.5498 4.5735 4.5498 90.00 90.00 90.00
Site moments in Bohr magnetons follow the coordinates.
Element x y z (fractional)
Ni: 0.0000 0.0000 0.0000  0.27
Mo: 0.5000 0.5000 0.5000  2.44
Te: 0.0000 0.5000 0.0000  -0.06
Rh: 0.0000 0.0000 0.5000  0.36
Rh: 0.5000 0.0000 0.0000  0.24

Summary:
Calculated volume ... 94.7 Å³ per cell
Raw formation energy ... 1153 meV per atom
D(E_F) ... 2.0483 states/eV/atom
Raw total energy ... -28.69 eV for the cell shown
Spin magnetization ... 3.630 μB per cell

Record 6
The following is a DFT calculation (PBE-GGA) of a geometry-optimized K2LiSe2O6 structure.

Lattice parameters (Å, degrees): 5.8914 5.8914 7.9611 68.28 68.28 60.00
Element x y z (fractional)
K: 0.7264 0.7264 0.8208
K: 0.2736 0.2736 0.1792
Li: 0.0000 0.0000 0.0000
Se: 0.4242 0.4242 0.7274
Se: 0.5758 0.5758 0.2726
O: 0.7600 0.7600 0.1835
O: 0.2964 0.7600 0.1835
O: 0.7600 0.2964 0.1835
O: 0.2400 0.7036 0.8165
O: 0.7036 0.2400 0.8165
O: 0.2400 0.2400 0.8165

Summary:
Calculated volume ... 216.4 Å³ per cell
Raw formation energy ... -1241 meV per atom
D(E_F) ... 0.3519 states/eV/atom
Raw total energy ... -54.48 eV for the cell shown
Spin magnetization ... 0.000 μB per cell

Record 7
The following is a DFT calculation (PBE-GGA) of a geometry-optimized BaZr2Cd structure.

Lattice parameters (Å, degrees): 4.9329 4.7129 4.7129 90.00 90.00 90.00
Element x y z (fractional)
Ba: 0.5000 0.5000 0.0000
Cd: 0.5000 0.0000 0.5000
Zr: 0.0000 0.0000 0.0000
Zr: 0.0000 0.5000 0.5000

Summary:
Calculated volume ... 109.6 Å³ per cell
D(E_F) ... 1.7319 states/eV/atom
ΔH_f (0 K) ... 0.484 eV per atom
Raw total energy ... -18.00 eV for the cell shown
Spin magnetization ... 0.001 μB per cell

Record 8
The following is a DFT calculation (PBE-GGA) of a geometry-optimized CsTeS structure.

Lattice parameters (Å, degrees): 5.4996 4.8715 4.8715 120.00 90.00 90.00
Element x y z (fractional)
Cs: 0.6572 0.3333 0.6667
S: 0.1929 0.6667 0.3333
Te: 0.1499 0.0000 0.0000

Summary:
Calculated volume ... 113.0 Å³ per cell
Raw formation energy ... -392 meV per atom
D(E_F) ... 1.2030 states/eV/atom
Polymorph energy (0 for the lowest one) ... 269.5 meV per atom
Raw total energy ... -9.30 eV for the cell shown
Spin magnetization ... 0.001 μB per cell